# LiYHg2, relaxed, DFT GGA-PBE
data_LiYHg2
_symmetry_space_group_name_H-M 'P 4/m m m'
_symmetry_Int_Tables_number 123
_symmetry_space_group_name_Hall '-P 4 2'
_cell_length_a 3.5246
_cell_length_b 3.5246
_cell_length_c 7.1467
_cell_angle_alpha 90.00
_cell_angle_beta 90.00
_cell_angle_gamma 90.00
loop_
_atom_site_label
_atom_site_type_symbol
_atom_site_fract_x
_atom_site_fract_y
_atom_site_fract_z
Li1 Li 0.0000 0.0000 0.0000
Y1 Y 0.0000 0.0000 0.5000
Hg1 Hg 0.5000 0.5000 0.2207
# E above lowest polymorph in eV/atom: 0.046
# Total DFT energy (no corrections) in eV per atom: -2.65
# Magnetic moment in μB per cell: 0.18